Entry 1:
This record from the Alexandria database describes a geometry-optimized LaBe2Os structure. The functional is PBE.

- energy above the most stable polymorph in this dataset (meV per atom) = 29.2

The structure in CIF format:
```
data_LaBe2Os
_cell_length_a 3.9568
_cell_length_b 3.9568
_cell_length_c 15.2309
_cell_angle_alpha 90.00
_cell_angle_beta 90.00
_cell_angle_gamma 120.00
_space_group_name_H-M_alt 'R -3 m'
_space_group_IT_number 166
_space_group_name_Hall '-R 3 2"'
loop_
_atom_site_label
_atom_site_fract_x
_atom_site_fract_y
_atom_site_fract_z
La1 0.0000 0.0000 0.0000
Be1 0.0000 0.0000 0.1909
Os1 0.0000 0.0000 0.5000
```



Entry 2:
This record from the Alexandria database describes a geometry-optimized CaIn3Br6 structure. The functional is PBE.

The structure in CIF format:
```
data_CaIn3Br6
_cell_length_a 12.9507
_cell_length_b 12.9507
_cell_length_c 15.3574
_cell_angle_alpha 90.00
_cell_angle_beta 90.00
_cell_angle_gamma 120.00
_space_group_name_H-M_alt 'R -3'
_space_group_IT_number 148
_space_group_name_Hall '-R 3'
loop_
_atom_site_label
_atom_site_fract_x
_atom_site_fract_y
_atom_site_fract_z
Ca1 0.0000 0.0000 0.0000
Ca2 0.0000 0.0000 0.5000
In1 0.0582 0.7888 0.2016
Br1 0.9997 0.1925 0.6033
Br2 0.0400 0.8478 0.8820
```



| no. | total energy (eV per formula unit) |
| --- | --- |
| 1 | -24.0 |
| 2 | -30.5 |